Model A:
Entry from Alexandria: a relaxed structure of LaTlBi (PBE-GGA).

abc: 4.167 5.218 5.218
angles: 120.00 90.00 90.00
Element x y z (fractional)
Bi: 0.726 0.667 0.333
Tl: 0.963 0.000 0.000
La: 0.310 0.333 0.667

Model B:
Entry from Alexandria: a relaxed structure of LaTlBi (PBE-GGA).

abc: 4.554 4.554 5.816
angles: 113.04 113.04 90.00
Element x y z (fractional)
La: 0.941 0.941 0.883
Bi: 0.297 0.297 0.595
Tl: 0.611 0.611 0.222

Bottom line: model A, by a margin of 0.021 eV/atom.

Model A:
Entry from Alexandria: a relaxed structure of LaTl3Bi (PBE-GGA).

abc: 6.077 6.077 6.077
angles: 90.00 90.00 90.00
Element x y z (fractional)
La: 0.000 0.000 0.000
Tl: 0.500 0.000 0.000
Bi: 0.500 0.500 0.500
Tl: 0.000 0.500 0.000
Tl: 0.000 0.000 0.500

Model B:
Entry from Alexandria: a relaxed structure of LaTl3Bi (PBE-GGA).

abc: 5.839 5.839 5.839
angles: 90.00 90.00 90.00
Element x y z (fractional)
Tl: 0.500 0.000 0.000
Tl: 0.000 0.000 0.500
Tl: 0.000 0.500 0.000
La: 0.500 0.500 0.500
Bi: 0.000 0.000 0.000

Bottom line: model B, by a margin of 0.158 eV/atom.

Model A:
Entry from Alexandria: a relaxed structure of LaTlBi2 (PBE-GGA).

abc: 5.697 5.697 5.697
angles: 60.00 60.00 60.00
Element x y z (fractional)
Bi: 0.750 0.750 0.750
La: 0.000 0.000 0.000
Bi: 0.250 0.250 0.250
Tl: 0.500 0.500 0.500

Model B:
Entry from Alexandria: a relaxed structure of LaTlBi2 (PBE-GGA).

abc: 4.819 5.077 5.077
angles: 90.00 90.00 90.00
Element x y z (fractional)
La: 0.500 0.500 0.500
Tl: 0.500 0.000 0.000
Bi: 0.000 0.500 0.000
Bi: 0.000 0.000 0.500

Model C:
Entry from Alexandria: a relaxed structure of LaTlBi2 (PBE-GGA).

abc: 5.036 5.036 7.311
angles: 69.85 69.85 60.00
Element x y z (fractional)
Tl: 0.000 0.000 0.000
Bi: 0.243 0.243 0.272
La: 0.500 0.500 0.500
Bi: 0.757 0.757 0.728

Bottom line: model B, by a margin of 0.187 eV/atom.

Model A:
Entry from Alexandria: a relaxed structure of La2TlBi (PBE-GGA).

abc: 4.408 4.408 9.100
angles: 75.98 75.98 60.00
Element x y z (fractional)
La: 0.256 0.256 0.233
La: 0.077 0.077 0.768
Tl: 0.500 0.500 0.501
Bi: 0.668 0.668 0.997

Model B:
Entry from Alexandria: a relaxed structure of La2TlBi (PBE-GGA).

abc: 5.678 5.678 5.678
angles: 60.00 60.00 60.00
Element x y z (fractional)
Bi: 0.500 0.500 0.500
Tl: 0.000 0.000 0.000
La: 0.250 0.250 0.250
La: 0.750 0.750 0.750

Model C:
Entry from Alexandria: a relaxed structure of La2TlBi (PBE-GGA).

abc: 4.662 4.762 13.030
angles: 100.53 90.00 90.00
Element x y z (fractional)
Tl: 0.250 0.458 0.915
La: 0.750 0.938 0.876
Tl: 0.750 0.542 0.085
Bi: 0.250 0.188 0.377
La: 0.750 0.683 0.367
Bi: 0.750 0.812 0.623
La: 0.250 0.062 0.124
La: 0.250 0.317 0.633

Model D:
Entry from Alexandria: a relaxed structure of La2TlBi (PBE-GGA).

abc: 6.627 6.643 13.228
angles: 98.62 90.00 90.00
Element x y z (fractional)
Tl: 0.751 0.055 0.141
Tl: 0.751 0.445 0.359
Bi: 0.750 0.001 0.627
La: 0.250 0.036 0.619
La: 0.250 0.464 0.881
Bi: 0.250 0.999 0.373
La: 0.251 0.498 0.375
Tl: 0.249 0.945 0.859
La: 0.749 0.998 0.875
La: 0.750 0.964 0.381
Bi: 0.250 0.501 0.127
Bi: 0.750 0.499 0.873
La: 0.750 0.536 0.119
La: 0.251 0.002 0.125
La: 0.749 0.502 0.625
Tl: 0.249 0.555 0.641

Bottom line: model C, by a margin of 0.105 eV/atom.

Model A:
Entry from Alexandria: a relaxed structure of LaTlBi3 (PBE-GGA).

abc: 4.458 8.483 8.639
angles: 85.31 90.00 90.00
Element x y z (fractional)
Bi: 0.750 0.062 0.377
Bi: 0.250 0.938 0.623
La: 0.250 0.771 0.263
Bi: 0.250 0.384 0.450
Bi: 0.750 0.869 0.955
Bi: 0.250 0.131 0.045
Bi: 0.750 0.616 0.550
La: 0.750 0.229 0.737
Tl: 0.750 0.435 0.143
Tl: 0.250 0.565 0.857

Model B:
Entry from Alexandria: a relaxed structure of LaTlBi3 (PBE-GGA).

abc: 5.781 5.781 5.781
angles: 90.00 90.00 90.00
Element x y z (fractional)
Bi: 0.000 0.500 0.000
Bi: 0.000 0.000 0.500
La: 0.500 0.500 0.500
Bi: 0.500 0.000 0.000
Tl: 0.000 0.000 0.000

Model C:
Entry from Alexandria: a relaxed structure of LaTlBi3 (PBE-GGA).

abc: 6.185 6.185 6.185
angles: 90.00 90.00 90.00
Element x y z (fractional)
Bi: 0.000 0.000 0.500
Bi: 0.500 0.000 0.000
Tl: 0.500 0.500 0.500
La: 0.000 0.000 0.000
Bi: 0.000 0.500 0.000

Bottom line: model A, by a margin of 0.648 eV/atom.

Model A:
Entry from Alexandria: a relaxed structure of LaTmBi2 (PBE-GGA).

abc: 4.540 4.540 8.189
angles: 73.90 73.90 60.00
Element x y z (fractional)
La: 0.669 0.669 0.994
Bi: 0.247 0.247 0.260
Bi: 0.087 0.087 0.740
Tm: 0.498 0.498 0.506

Model B:
Entry from Alexandria: a relaxed structure of LaTmBi2 (PBE-GGA).

abc: 4.582 4.582 7.883
angles: 73.10 73.10 60.00
Element x y z (fractional)
Tm: 0.500 0.500 0.500
Bi: 0.755 0.755 0.734
Bi: 0.245 0.245 0.266
La: 0.000 0.000 0.000

Bottom line: model B, by a margin of 0.119 eV/atom.